1.
Compound: Rb2CdSnF6
Source: the Alexandria database
Functional: PBE
Structure: optimized geometry

- ΔE_f (raw): -56.60 kcal/mol of atoms
- SG: Fm-3m
- E: -42.63 eV/cell

a b c (Å): 6.5354 6.5354 6.5362
angles (deg): 60.00 60.00 90.00
With the nearest neighbours (Å) after each atom.
Sites, in units of the cell vectors:
1 Rb 0.2500 0.7500 0.5000  12 F 3.27
2 Rb 0.7500 0.2500 0.5000  12 F 3.27
3 Sn 0.0000 0.0000 0.0000  6 F 2.36
4 F 0.7447 0.7447 0.5106  1 Cd 2.26, 1 Sn 2.36
5 F 0.2553 0.2553 0.4894  1 Cd 2.26, 1 Sn 2.36
6 F 0.7447 0.2553 0.0000  1 Cd 2.26, 1 Sn 2.36
7 F 0.7447 0.7447 0.0000  1 Cd 2.26, 1 Sn 2.36
8 F 0.2553 0.2553 0.0000  1 Cd 2.26, 1 Sn 2.36
9 F 0.2553 0.7447 0.0000  1 Cd 2.26, 1 Sn 2.36
10 Cd 0.5000 0.5000 0.0000  6 F 2.26

---

2.
Compound: CsNaCd2B
Source: the Alexandria database
Functional: PBE
Structure: optimized geometry

- E_form: 0.585 eV per atom
- SG: P4/mmm
- E: -7.76 eV/cell

a b c (Å): 4.6863 4.6863 6.5937
angles (deg): 90.00 90.00 90.00
With the nearest neighbours (Å) after each atom.
Sites, in units of the cell vectors:
1 B 0.0000 0.0000 0.0000  4 Cd 2.34
2 Cd 0.5000 0.0000 0.0000  2 B 2.34
3 Cd 0.0000 0.5000 0.0000  2 B 2.34
4 Cs 0.0000 0.0000 0.5000  2 B 3.30, 4 Na 3.31
5 Na 0.5000 0.5000 0.5000  4 Cs 3.31